A plane-wave DFT calculation with PBE+U was carried out for a geometry-optimized Dy2WO6 structure.

Cell lengths 7.713, 5.400, 11.482 Å; angles 90.00, 104.51, 90.00 degrees
Element x y z (fractional)
Dy 0.000 0.184 0.250
Dy 0.000 0.816 0.750
Dy 0.294 0.315 0.922
Dy 0.294 0.685 0.422
Dy 0.500 0.240 0.250
Dy 0.500 0.760 0.750
Dy 0.706 0.315 0.578
Dy 0.706 0.685 0.078
W 0.224 0.245 0.615
W 0.224 0.755 0.115
W 0.776 0.245 0.885
W 0.776 0.755 0.385
O 0.010 0.139 0.885
O 0.010 0.861 0.385
O 0.135 0.348 0.452
O 0.135 0.652 0.952
O 0.210 0.481 0.228
O 0.210 0.519 0.728
O 0.290 0.042 0.773
O 0.290 0.958 0.273
O 0.348 0.032 0.070
O 0.348 0.968 0.570
O 0.439 0.456 0.605
O 0.439 0.544 0.105
O 0.561 0.456 0.895
O 0.561 0.544 0.395
O 0.652 0.032 0.430
O 0.652 0.968 0.930
O 0.710 0.042 0.727
O 0.710 0.958 0.227
O 0.790 0.481 0.272
O 0.790 0.519 0.772
O 0.865 0.348 0.048
O 0.865 0.652 0.548
O 0.990 0.139 0.615
O 0.990 0.861 0.115

Electronic total energy in eV/atom: -8.12
Energy above the most stable polymorph in this dataset in meV/atom: 0